Compound: AcDySb2Pd5
Source: the Alexandria database
Functional: GGA-PBE
Structure: optimized geometry

Lattice parameters (Å, degrees): 5.028 5.028 8.804 90.00 90.00 90.00
Space group P4/mmm (No. 123)
Symmetry-distinct sites (fractional):
1 Ac 0.000 0.000 0.000 (multiplicity 1)
2 Dy 0.000 0.000 0.500 (multiplicity 1)
3 Sb 0.500 0.500 0.289 (multiplicity 2)
4 Pd 0.000 0.500 0.329 (multiplicity 4)
5 Pd 0.500 0.500 0.000 (multiplicity 1)

## Properties
* magnetic moment: 0.0 μB/cell
* volume: 24.73 A^3/atom
* Fermi-level density of states: 2.052 states/eV/cell
* uncorrected formation energy: -532 meV per atom

Compound: AcDySbPd
Source: the Alexandria database
Functional: GGA-PBE
Structure: optimized geometry

Lattice parameters (Å, degrees): 7.635 7.635 7.635 90.00 90.00 90.00
Space group F-43m (No. 216)
Symmetry-distinct sites (fractional):
1 Ac 0.000 0.000 0.000 (multiplicity 4)
2 Dy 0.000 0.000 0.500 (multiplicity 4)
3 Sb 0.250 0.250 0.750 (multiplicity 4)
4 Pd 0.250 0.250 0.250 (multiplicity 4)

## Properties
* magnetic moment: 3.0 μB/cell
* volume: 27.82 A^3/atom
* Fermi-level density of states: 16.327 states/eV/cell
* uncorrected formation energy: -696 meV per atom

Compound: Ac2DySb3Pd4
Source: the Alexandria database
Functional: GGA-PBE
Structure: optimized geometry

Lattice parameters (Å, degrees): 4.632 4.632 11.502 90.00 90.00 90.00
Space group P-4m2 (No. 115)
Symmetry-distinct sites (fractional):
1 Ac 0.000 0.500 0.220 (multiplicity 2)
2 Dy 0.000 0.000 0.500 (multiplicity 1)
3 Sb 0.000 0.500 0.873 (multiplicity 2)
4 Sb 0.500 0.500 0.500 (multiplicity 1)
5 Pd 0.000 0.000 0.000 (multiplicity 1)
6 Pd 0.000 0.500 0.642 (multiplicity 2)
7 Pd 0.500 0.500 0.000 (multiplicity 1)

## Properties
* magnetic moment: 0.0 μB/cell
* volume: 24.68 A^3/atom
* Fermi-level density of states: 3.003 states/eV/cell
* uncorrected formation energy: -950 meV per atom

Compound: Ac2DyPdSe5
Source: the Alexandria database
Functional: GGA-PBE
Structure: optimized geometry

Lattice parameters (Å, degrees): 4.164 17.890 12.861 90.00 90.00 90.00
Space group Cmc2_1 (No. 36)
Symmetry-distinct sites (fractional):
1 Ac 0.000 0.112 0.000 (multiplicity 4)
2 Ac 0.000 0.126 0.354 (multiplicity 4)
3 Dy 0.000 0.176 0.677 (multiplicity 4)
4 Pd 0.000 0.443 0.082 (multiplicity 4)
5 Se 0.000 0.017 0.681 (multiplicity 4)
6 Se 0.000 0.303 0.019 (multiplicity 4)
7 Se 0.000 0.308 0.335 (multiplicity 4)
8 Se 0.000 0.339 0.674 (multiplicity 4)
9 Se 0.000 0.499 0.901 (multiplicity 4)

## Properties
* magnetic moment: 0.0 μB/cell
* volume: 26.61 A^3/atom
* Fermi-level density of states: 10.995 states/eV/cell
* uncorrected formation energy: -1676 meV per atom

Compound: AcDySi2Pd5
Source: the Alexandria database
Functional: GGA-PBE
Structure: optimized geometry

Lattice parameters (Å, degrees): 4.290 4.290 9.104 90.00 90.00 90.00
Space group P4/mmm (No. 123)
Symmetry-distinct sites (fractional):
1 Ac 0.000 0.000 0.000 (multiplicity 1)
2 Dy 0.000 0.000 0.500 (multiplicity 1)
3 Si 0.500 0.500 0.371 (multiplicity 2)
4 Pd 0.000 0.500 0.244 (multiplicity 4)
5 Pd 0.500 0.500 0.000 (multiplicity 1)

## Properties
* magnetic moment: 0.0 μB/cell
* volume: 18.62 A^3/atom
* Fermi-level density of states: 2.922 states/eV/cell
* uncorrected formation energy: -861 meV per atom

Compound: Ac2DySi3Pd12
Source: the Alexandria database
Functional: GGA-PBE
Structure: optimized geometry

Lattice parameters (Å, degrees): 9.3638 9.3638 13.3650 90.00 90.00 120.00
Space group R-3m (No. 166, hexagonal axes)
Symmetry-distinct sites (fractional):
1 Ac 0.0000 0.0000 0.1332 (multiplicity 6)
2 Dy 0.0000 0.0000 0.5000 (multiplicity 3)
3 Si 0.0000 0.5000 0.0000 (multiplicity 9)
4 Pd 0.0015 0.5008 0.8223 (multiplicity 18)
5 Pd 0.0437 0.5218 0.3812 (multiplicity 18)

## Properties
* magnetic moment: 0.0 μB/cell
* volume: 18.79 A^3/atom
* Fermi-level density of states: 24.106 states/eV/cell
* uncorrected formation energy: -507 meV per atom

Compound: AcDySi2Pd2
Source: the Alexandria database
Functional: GGA-PBE
Structure: optimized geometry

Lattice parameters (Å, degrees): 4.2702 4.2702 8.3534 90.00 90.00 120.00
Space group P-3m1 (No. 164)
Symmetry-distinct sites (fractional):
1 Ac 0.0000 0.0000 0.0000 (multiplicity 1)
2 Dy 0.0000 0.0000 0.5000 (multiplicity 1)
3 Si 0.3333 0.6667 0.2695 (multiplicity 2)
4 Pd 0.3333 0.6667 0.7201 (multiplicity 2)

## Properties
* magnetic moment: 0.0 μB/cell
* volume: 21.99 A^3/atom
* Fermi-level density of states: 4.208 states/eV/cell
* uncorrected formation energy: -899 meV per atom

Compound: AcDySn2Pd5
Source: the Alexandria database
Functional: GGA-PBE
Structure: optimized geometry

Lattice parameters (Å, degrees): 4.528 4.528 9.424 90.00 90.00 90.00
Space group P4/mmm (No. 123)
Symmetry-distinct sites (fractional):
1 Ac 0.000 0.000 0.000 (multiplicity 1)
2 Dy 0.000 0.000 0.500 (multiplicity 1)
3 Sn 0.500 0.500 0.354 (multiplicity 2)
4 Pd 0.000 0.500 0.217 (multiplicity 4)
5 Pd 0.500 0.500 0.000 (multiplicity 1)

## Properties
* ΔE_f: -0.67 eV per atom
* magnetic moment: 0.0 μB/cell
* volume: 21.47 A^3/atom
* Fermi-level density of states: 3.635 states/eV/cell

| no. | E_tot (eV per atom) |
| --- | --- |
| 1 | -5.30 |
| 2 | -5.20 |
| 3 | -5.55 |
| 4 | -5.61 |
| 5 | -5.92 |
| 6 | -5.58 |
| 7 | -5.89 |
| 8 | -5.41 |